Entry 1:
{"formula": "KRu4O8", "functional": "PBE", "state": "relaxed", "formation_energy_uncorrected_ev_per_atom": -1.044, "m_tot_mub_per_cell": 0.000, "space_group": "No. 87", "final_energy_ev_per_atom": -7.033, "lattice_angstrom": [[-7.217, 0.424, -0.088], [6.353, -2.727, 2.115], [0.638, 5.765, 4.316]], "species": ["K", "Ru", "Ru", "Ru", "Ru", "O", "O", "O", "O", "O", "O", "O", "O"], "fractional_positions": [[0.500, 0.500, 0.000], [0.648, 0.167, 0.815], [0.352, 0.833, 0.185], [0.167, 0.352, 0.519], [0.833, 0.648, 0.481], [0.844, 0.453, 0.297], [0.453, 0.156, 0.609], [0.547, 0.844, 0.391], [0.156, 0.547, 0.703], [0.800, 0.850, 0.650], [0.200, 0.150, 0.350], [0.150, 0.800, 0.950], [0.850, 0.200, 0.050]]}



Entry 2:
{"formula": "Nd6Te5Se", "functional": "PBE", "state": "relaxed", "formation_energy_uncorrected_ev_per_atom": -1.499, "m_tot_mub_per_cell": 0.000, "space_group": "No. 12", "final_energy_ev_per_atom": -5.482, "lattice_angstrom": [[7.721, 0.197, 0.000], [2.361, 7.364, 0.000], [1.181, 3.682, 6.690]], "species": ["Nd", "Nd", "Nd", "Nd", "Nd", "Nd", "Te", "Te", "Te", "Te", "Te", "Se"], "fractional_positions": [[0.770, 0.075, 0.307], [0.230, 0.618, 0.307], [0.239, 0.225, 0.000], [0.761, 0.775, 0.000], [0.770, 0.382, 0.693], [0.230, 0.925, 0.693], [0.500, 0.176, 0.648], [0.000, 0.336, 0.328], [0.500, 0.500, 0.000], [0.000, 0.664, 0.672], [0.500, 0.824, 0.352], [0.000, 0.000, 0.000]]}



Entry 3:
{"formula": "AcPr3Ag4", "functional": "PBE", "state": "relaxed", "delta_e_f_ev_per_atom": -0.24, "m_tot_mub_per_cell": 0.000, "space_group": "No. 123", "final_energy_ev_per_atom": -3.973, "lattice_angstrom": [[5.436, 0.000, 0.000], [0.000, 7.601, 0.000], [0.000, 0.000, 10.872]], "species": ["Pr", "Pr", "Pr", "Pr", "Pr", "Pr", "Ac", "Ac", "Ag", "Ag", "Ag", "Ag", "Ag", "Ag", "Ag", "Ag"], "fractional_positions": [[0.000, 0.000, 0.000], [0.000, 0.000, 0.500], [0.500, 0.000, 0.750], [0.500, 0.000, 0.250], [0.501, 0.500, 0.750], [0.499, 0.500, 0.250], [0.000, 0.500, 0.000], [0.000, 0.500, 0.500], [0.500, 0.762, 0.000], [0.500, 0.762, 0.500], [0.500, 0.238, 0.000], [0.500, 0.238, 0.500], [0.001, 0.761, 0.750], [0.999, 0.761, 0.250], [0.999, 0.239, 0.250], [0.001, 0.239, 0.750]]}



Entry 4:
{"formula": "Sc2TaRh", "functional": "PBE", "state": "relaxed", "delta_e_f_ev_per_atom": -0.24, "m_tot_mub_per_cell": 0.000, "space_group": "No. 71", "relative_energy_ev_per_atom": 0.126, "final_energy_ev_per_atom": -8.204, "lattice_angstrom": [[-3.782, -3.959, 0.918], [-0.413, -1.986, 5.168], [-0.325, 4.534, -3.187]], "species": ["Rh", "Sc", "Sc", "Ta"], "fractional_positions": [[0.250, 0.750, 0.500], [0.027, 0.027, 0.000], [0.473, 0.473, 0.000], [0.750, 0.250, 0.500]]}



Entry 5:
{"formula": "Cr2CdW", "functional": "PBE", "state": "relaxed", "delta_e_f_ev_per_atom": 0.40, "m_tot_mub_per_cell": 0.000, "space_group": "No. 65", "final_energy_ev_per_atom": -7.880, "lattice_angstrom": [[-1.310, -0.625, 2.269], [2.588, 0.494, 0.564], [-1.901, 8.523, 1.251]], "species": ["Cd", "Cr", "Cr", "W"], "fractional_positions": [[0.500, 0.500, 0.750], [0.000, 0.000, 0.019], [0.000, 0.000, 0.481], [0.500, 0.500, 0.250]]}



Entry 6:
{"formula": "Ca2CoH8", "functional": "PBE", "state": "relaxed", "m_tot_mub_per_cell": 0.000, "space_group": "No. 12", "final_energy_ev_per_atom": -3.728, "lattice_angstrom": [[-3.204, -1.237, -0.378], [1.583, -3.557, -1.778], [1.200, -0.450, 7.092]], "species": ["Ca", "Ca", "Co", "H", "H", "H", "H", "H", "H", "H", "H"], "fractional_positions": [[0.846, 0.339, 0.691], [0.154, 0.661, 0.309], [0.500, 0.000, 0.000], [0.442, 0.635, 0.885], [0.605, 0.951, 0.211], [0.760, 0.754, 0.520], [0.002, 0.113, 0.004], [0.240, 0.246, 0.480], [0.395, 0.049, 0.789], [0.558, 0.365, 0.115], [0.998, 0.887, 0.996]]}



Entry 7:
{"formula": "V5Cr4W", "functional": "PBE", "state": "relaxed", "delta_e_f_ev_per_atom": -0.06, "m_tot_mub_per_cell": 0.000, "space_group": "No. 123", "final_energy_ev_per_atom": -9.767, "lattice_angstrom": [[-0.476, -2.902, -0.223], [1.881, -0.479, 2.221], [-11.163, 1.085, 9.688]], "species": ["V", "V", "V", "V", "V", "Cr", "Cr", "Cr", "Cr", "W"], "fractional_positions": [[0.500, 0.500, 0.110], [0.500, 0.500, 0.305], [0.500, 0.500, 0.500], [0.500, 0.500, 0.695], [0.500, 0.500, 0.890], [0.000, 0.000, 0.206], [0.000, 0.000, 0.402], [0.000, 0.000, 0.598], [0.000, 0.000, 0.794], [0.000, 0.000, 0.000]]}



Entry 8:
{"formula": "LaPmNd", "functional": "PBE", "state": "relaxed", "delta_e_f_ev_per_atom": 0.01, "m_tot_mub_per_cell": 0.000, "space_group": "No. 156", "relative_energy_ev_per_atom": 0.000, "final_energy_ev_per_atom": -4.803, "lattice_angstrom": [[3.692, 0.000, 0.000], [-1.846, 3.198, 0.000], [0.000, 0.000, 9.039]], "species": ["La", "Nd", "Pm"], "fractional_positions": [[0.333, 0.667, 0.666], [0.000, 0.000, 0.003], [0.667, 0.333, 0.331]]}